Re2SbRu | PBE-GGA | relaxed

The structure belongs to space group I4/mmm (No. 139); the cell edges are 3.8955, 3.8955 and 8.3631 Å and the angles 90.00°, 90.00° and 90.00°. The inequivalent atoms are Re at (0.0000, 0.5000, 0.2500), Sb at (0.0000, 0.0000, 0.0000) and Ru at (0.0000, 0.0000, 0.5000).

The value obtained for the total energy is -9.102 eV/atom. As for the crystal system: tetragonal. Its energy relative to the elements, uncorrected is 471 meV per atom.



Re2SbRu | PBE-GGA | relaxed

The structure belongs to space group P4/mmm (No. 123); the cell edges are 4.6020, 4.6020 and 3.0286 Å and the angles 90.00°, 90.00° and 90.00°. The inequivalent atoms are Re at (0.0000, 0.5000, 0.0000), Sb at (0.0000, 0.0000, 0.5000) and Ru at (0.5000, 0.5000, 0.5000).

The value obtained for the total energy is -8.977 eV/atom. As for the crystal system: tetragonal. Its energy relative to the elements, uncorrected is 597 meV per atom.